This record from the Alexandria database describes crystalline Li6Co3NiP6O24 at its relaxed geometry. The functional is PBE with a Hubbard U.

Values from the calculation:
* SG: P1, No. 1
* D(E_F): 2.9 states/eV per cell
* E_tot: -6.45 eV/atom

```
40
Lattice="8.824 0.423 0.313 4.426 7.644 0.306 4.510 2.751 7.134" Properties=species:S:1:pos:R:3 pbc="T T T"
O 7.847 9.490 5.254
O 8.497 8.532 2.923
O 11.969 8.524 3.873
O 7.195 7.463 0.404
O 14.156 5.350 7.066
O 8.299 3.197 3.046
O 6.642 4.703 4.605
O 8.751 4.923 6.972
O 13.375 6.524 4.919
O 6.847 5.529 1.978
O 6.592 6.933 5.761
O 6.249 2.732 1.295
O 12.050 5.779 0.965
O 5.693 2.260 4.088
O 13.705 9.731 5.365
O 11.100 5.138 5.965
O 11.118 3.763 2.196
O 6.103 0.443 0.296
O 11.095 6.047 3.281
O 9.479 7.531 4.983
O 9.086 5.773 0.883
O 11.585 7.843 6.646
O 4.482 4.444 2.615
O 14.285 8.815 3.012
Li 8.430 6.806 6.426
Li 12.740 3.986 6.187
Li 9.776 7.146 2.264
Li 5.280 6.418 2.716
Li 9.308 3.847 1.494
Li 7.958 3.565 5.647
P 7.532 5.990 0.676
P 5.747 5.651 5.456
P 8.808 1.842 3.603
P 11.904 5.076 2.354
P 8.935 8.845 4.361
P 10.271 4.703 7.190
Ni 2.669 1.470 1.264
Co 6.342 3.741 2.847
Co 11.420 6.932 5.031
Co 15.101 9.147 6.722
```